Density functional theory data (PBE-GGA) for crystalline Hf6MnBi at its relaxed geometry.

The structure belongs to space group R-3m (No. 166, hexagonal axes); the cell edges are 9.2770, 9.2770 and 7.3791 Å and the angles 90.00°, 90.00° and 120.00°. The asymmetric unit holds Hf at (0.0597, 0.5299, 0.3106), Mn at (0.0000, 0.0000, 0.5000) and Bi at (0.0000, 0.0000, 0.0000).

For the calculated volume, the calculation gives 22.92 A^3/atom. As for the formation energy: 0.209 eV per atom.